1.
Entry from Alexandria via LeMat-Bulk: a relaxed structure of Ca2InWN4 (PBE).

a b c (Å): 5.574 6.292 7.729
angles (deg): 90.00 90.00 90.00
Element x y z (fractional)
Ca (0.483, 0.316, 0.249)
Ca (0.483, 0.316, 0.751)
Ca (0.983, 0.684, 0.749)
Ca (0.983, 0.684, 0.251)
In (0.983, 0.192, 0.500)
In (0.483, 0.808, 0.000)
W (0.503, 0.834, 0.500)
W (0.003, 0.166, 0.000)
N (0.339, 0.138, 0.000)
N (0.839, 0.862, 0.500)
N (0.374, 0.113, 0.500)
N (0.874, 0.887, 0.000)
N (0.418, 0.684, 0.704)
N (0.918, 0.316, 0.204)
N (0.918, 0.316, 0.796)
N (0.418, 0.684, 0.296)

Summary:
Calculated volume, Å³ per cell: 271
Total moment, μB/atom: 0.00
Uncorrected formation energy, meV/atom: -678

***

2.
Entry from Alexandria via LeMat-Bulk: a relaxed structure of Ca2ZnInN (PBE).

a b c (Å): 5.060 5.060 4.076
angles (deg): 90.00 90.00 90.00
Element x y z (fractional)
Zn (0.000, 0.000, 0.500)
N (0.000, 0.000, 0.000)
Ca (0.000, 0.500, 0.000)
Ca (0.500, 0.000, 0.000)
In (0.500, 0.500, 0.500)

Summary:
Calculated volume, Å³ per cell: 104
Total moment, μB/atom: 0.00
Uncorrected formation energy, meV/atom: -398

***

3.
Entry from Alexandria via LeMat-Bulk: a relaxed structure of Ca2ZrInN (PBE).

a b c (Å): 4.878 4.878 4.543
angles (deg): 90.00 90.00 90.00
Element x y z (fractional)
Ca (0.000, 0.500, 0.000)
Ca (0.500, 0.000, 0.000)
N (0.000, 0.000, 0.000)
Zr (0.000, 0.000, 0.500)
In (0.500, 0.500, 0.500)

Summary:
Calculated volume, Å³ per cell: 108
Total moment, μB/atom: 0.00
Uncorrected formation energy, meV/atom: -678

***

4.
Entry from Alexandria via LeMat-Bulk: a relaxed structure of Na2CaIn6 (PBE).

a b c (Å): 6.237 6.236 6.236
angles (deg): 90.82 90.80 90.80
Element x y z (fractional)
Na (0.662, 0.663, 0.663)
Na (0.338, 0.337, 0.337)
Ca (0.000, 0.000, 0.000)
In (0.167, 0.500, 0.833)
In (0.833, 0.167, 0.500)
In (0.833, 0.500, 0.167)
In (0.500, 0.167, 0.833)
In (0.167, 0.833, 0.500)
In (0.500, 0.833, 0.167)

Summary:
Calculated formation energy, eV per atom: -0.202
Calculated volume, Å³ per cell: 242
Total moment, μB/atom: 0.00
ΔE to the lowest computed polymorph, eV per formula unit: 0.000

***

5.
Entry from Alexandria via LeMat-Bulk: a relaxed structure of NaCaIn2 (PBE).

a b c (Å): 3.620 3.620 10.715
angles (deg): 80.27 80.27 60.00
Element x y z (fractional)
Na (0.000, 0.000, 0.000)
Ca (0.500, 0.500, 0.500)
In (0.249, 0.249, 0.252)
In (0.751, 0.751, 0.748)

Summary:
Calculated formation energy, eV per atom: -0.126
Calculated volume, Å³ per cell: 119
Total moment, μB/atom: 0.00

***

6.
Entry from Alexandria via LeMat-Bulk: a relaxed structure of Na2CaIn2 (PBE).

a b c (Å): 4.422 4.422 8.294
angles (deg): 74.54 74.54 90.00
Element x y z (fractional)
Na (0.750, 0.250, 0.500)
Na (0.250, 0.750, 0.500)
Ca (0.000, 0.000, 0.000)
In (0.404, 0.404, 0.193)
In (0.596, 0.596, 0.807)

Summary:
Calculated formation energy, eV per atom: -0.137
Calculated volume, Å³ per cell: 150
Total moment, μB/atom: 0.00
ΔE to the lowest computed polymorph, eV per formula unit: 0.000